No. 1
VASP calculation (PBE) on a relaxed structure of TaSbBr2.

Structure (POSCAR):
```
TaSbBr2
1.0
-4.946 6.320 2.257
-4.128 2.483 6.803
6.502 -2.143 -4.756
Sb Br Ta
1 2 1
direct
0.397 0.397 0.000
0.108 0.108 0.000
0.754 0.254 0.500
0.241 0.741 0.500
```

Computed properties:
Crystal system   orthorhombic
Relative energy among the computed polymorphs   328 meV per atom
Space-group type   Imm2, No. 44
Formation energy (no corrections)   4 meV/atom


No. 2
VASP calculation (PBE) on a relaxed structure of Th2UPtRh5.

Structure (POSCAR):
```
Th2UPtRh5
1.0
-7.918 3.065 0.214
-0.772 -1.412 -8.339
2.516 -5.620 5.044
Th Rh U Pt
4 10 2 2
direct
0.364 0.864 0.000
0.636 0.136 0.000
0.864 0.636 0.000
0.136 0.364 0.000
0.054 0.554 0.723
0.946 0.446 0.277
0.331 0.831 0.277
0.446 0.331 0.277
0.669 0.169 0.723
0.000 0.000 0.000
0.500 0.500 0.000
0.831 0.946 0.277
0.169 0.054 0.723
0.554 0.669 0.723
0.750 0.750 0.500
0.250 0.250 0.500
0.250 0.750 0.500
0.750 0.250 0.500
```

Computed properties:
E_form   -302 meV per atom
Crystal system   tetragonal
Space-group type   I4/mcm, No. 140


No. 3
VASP calculation (PBE) on a relaxed structure of InAuI2N.

Structure (POSCAR):
```
InAuI2N
1.0
-2.698 -2.010 -5.373
-1.859 -5.310 2.921
-3.255 1.691 1.002
I Au N In
2 1 1 1
direct
0.500 0.000 0.000
0.000 0.500 0.000
0.000 0.000 0.000
0.000 0.000 0.500
0.500 0.500 0.500
```

Computed properties:
Crystal system   tetragonal
Relative energy among the computed polymorphs   0 meV per atom
Space-group type   P4/mmm, No. 123
Formation energy (no corrections)   577 meV/atom


- Which formula does entry 1 have?
  TaSbBr2